No. 1
# LiSbTe2 (GGA-PBEsol, relaxed)
# E in eV per atom: -3.7656
# DOS at the Fermi energy in states/eV/cell: 0.11
# V in Å³/atom: 29.4
data_LiSbTe2
_chemical_formula_sum 'Li2 Sb2 Te4'
_cell_length_a 13.182
_cell_length_b 4.205
_cell_length_c 4.250
_cell_angle_alpha 90.00
_cell_angle_beta 90.18
_cell_angle_gamma 90.00
_space_group_name_H-M_alt 'C 1 m 1'
_space_group_IT_number 8
loop_
_space_group_symop_operation_xyz
'x,y,z'
'x,-y,z'
'x+1/2,y+1/2,z'
'x+1/2,-y+1/2,z'
loop_
_atom_site_label
_atom_site_fract_x
_atom_site_fract_y
_atom_site_fract_z
Li1 0.000 0.000 0.000
Sb1 0.187 0.500 0.503
Te1 0.231 0.000 0.002
Te2 0.479 0.000 0.499

No. 2
# SrTl2Au2 (GGA-PBEsol, relaxed)
# E in eV per atom: -3.3571
# DOS at the Fermi energy in states/eV/cell: 5.02
# Formation energy from the elements in eV per atom: -0.37
# V in Å³/atom: 25.5
data_SrTl2Au2
_chemical_formula_sum 'Sr2 Tl4 Au4'
_cell_length_a 4.465
_cell_length_b 4.465
_cell_length_c 12.808
_cell_angle_alpha 90.00
_cell_angle_beta 90.00
_cell_angle_gamma 90.00
_space_group_name_H-M_alt 'I 4/m m m'
_space_group_IT_number 139
_space_group_name_Hall '-I 4 2'
loop_
_atom_site_label
_atom_site_fract_x
_atom_site_fract_y
_atom_site_fract_z
Sr1 0.000 0.000 0.000
Tl1 0.000 0.500 0.250
Au1 0.000 0.000 0.397

No. 3
# Zn2Co2Ge (GGA-PBEsol, relaxed)
# E in eV per atom: -4.8068
# DOS at the Fermi energy in states/eV/cell: 7.31
# Formation energy from the elements in eV per atom: -0.09
# V in Å³/atom: 12.8
data_Zn2Co2Ge
_chemical_formula_sum 'Zn4 Co4 Ge2'
_cell_length_a 5.821
_cell_length_b 5.821
_cell_length_c 3.779
_cell_angle_alpha 90.00
_cell_angle_beta 90.00
_cell_angle_gamma 90.00
_space_group_name_H-M_alt 'P 4/m b m'
_space_group_IT_number 127
_space_group_name_Hall '-P 4 2ab'
loop_
_atom_site_label
_atom_site_fract_x
_atom_site_fract_y
_atom_site_fract_z
Zn1 0.156 0.344 0.000
Co1 0.143 0.643 0.500
Ge1 0.000 0.000 0.500

No. 4
# K2RhCl (GGA-PBEsol, relaxed)
# E in eV per atom: -3.1043
# DOS at the Fermi energy in states/eV/cell: 5.56
# V in Å³/atom: 26.5
# Distance to the lowest polymorph of the same formula in eV/atom: 0.1161
data_K2RhCl
_chemical_formula_sum 'K2 Rh1 Cl1'
_cell_length_a 3.148
_cell_length_b 5.459
_cell_length_c 6.165
_cell_angle_alpha 90.00
_cell_angle_beta 90.00
_cell_angle_gamma 90.00
_space_group_name_H-M_alt 'P m m m'
_space_group_IT_number 47
loop_
_space_group_symop_operation_xyz
'x,y,z'
'-x,-y,-z'
'-x,-y,z'
'x,y,-z'
'x,-y,-z'
'-x,y,z'
'-x,y,-z'
'x,-y,z'
loop_
_atom_site_label
_atom_site_fract_x
_atom_site_fract_y
_atom_site_fract_z
K1 0.000 0.000 0.000
K2 0.500 0.500 0.500
Rh1 0.000 0.000 0.500
Cl1 0.500 0.500 0.000

No. 5
# BaSrTl2 (GGA-PBEsol, relaxed)
# E in eV per atom: -2.7494
# DOS at the Fermi energy in states/eV/cell: 2.95
# Formation energy from the elements in eV per atom: -0.44
# V in Å³/atom: 34.6
data_BaSrTl2
_chemical_formula_sum 'Ba1 Sr1 Tl2'
_cell_length_a 4.112
_cell_length_b 5.728
_cell_length_c 5.868
_cell_angle_alpha 90.00
_cell_angle_beta 90.00
_cell_angle_gamma 90.00
_space_group_name_H-M_alt 'P m m 2'
_space_group_IT_number 25
loop_
_space_group_symop_operation_xyz
'x,y,z'
'-x,-y,z'
'-x,y,z'
'x,-y,z'
loop_
_atom_site_label
_atom_site_fract_x
_atom_site_fract_y
_atom_site_fract_z
Ba1 0.000 0.000 0.000
Sr1 0.000 0.500 0.544
Tl1 0.500 0.000 0.488
Tl2 0.500 0.500 0.065

No. 6
# OsAu2Cl (GGA-PBEsol, relaxed)
# E in eV per atom: -4.9245
# DOS at the Fermi energy in states/eV/cell: 4.22
# V in Å³/atom: 17.1
# Distance to the lowest polymorph of the same formula in eV/atom: 0.0235
data_OsAu2Cl
_chemical_formula_sum 'Os1 Au2 Cl1'
_cell_length_a 2.892
_cell_length_b 2.950
_cell_length_c 8.017
_cell_angle_alpha 90.00
_cell_angle_beta 90.07
_cell_angle_gamma 90.00
_space_group_name_H-M_alt 'P 1 2/m 1'
_space_group_IT_number 10
loop_
_space_group_symop_operation_xyz
'x,y,z'
'-x,-y,-z'
'-x,y,-z'
'x,-y,z'
loop_
_atom_site_label
_atom_site_fract_x
_atom_site_fract_y
_atom_site_fract_z
Os1 0.000 0.000 0.000
Au1 0.499 0.500 0.771
Cl1 0.500 0.000 0.500

No. 7
# NaCaCr2 (GGA-PBEsol, relaxed)
# E in eV per atom: -4.8815
# DOS at the Fermi energy in states/eV/cell: 11.14
# Formation energy from the elements in eV per atom: 1.12
# V in Å³/atom: 24.8
data_NaCaCr2
_chemical_formula_sum 'Na4 Ca4 Cr8'
_cell_length_a 7.351
_cell_length_b 7.351
_cell_length_c 7.351
_cell_angle_alpha 90.00
_cell_angle_beta 90.00
_cell_angle_gamma 90.00
_space_group_name_H-M_alt 'F m -3 m'
_space_group_IT_number 225
_space_group_name_Hall '-F 4 2 3'
loop_
_atom_site_label
_atom_site_fract_x
_atom_site_fract_y
_atom_site_fract_z
Na1 0.000 0.000 0.000
Ca1 0.000 0.000 0.500
Cr1 0.250 0.250 0.250

No. 8
# La2MgTcIr (GGA-PBEsol, relaxed)
# E in eV per atom: -5.3044
# DOS at the Fermi energy in states/eV/cell: 5.65
# Formation energy from the elements in eV per atom: 1.40
# V in Å³/atom: 26.1
data_La2MgTcIr
_chemical_formula_sum 'La2 Mg1 Tc1 Ir1'
_cell_length_a 5.442
_cell_length_b 5.442
_cell_length_c 4.413
_cell_angle_alpha 90.00
_cell_angle_beta 90.00
_cell_angle_gamma 90.00
_space_group_name_H-M_alt 'P 4/m m m'
_space_group_IT_number 123
_space_group_name_Hall '-P 4 2'
loop_
_atom_site_label
_atom_site_fract_x
_atom_site_fract_y
_atom_site_fract_z
La1 0.000 0.500 0.000
Mg1 0.000 0.000 0.000
Tc1 0.000 0.000 0.500
Ir1 0.500 0.500 0.500

No. 9
# V4O7F5 (GGA-PBEsol, relaxed)
# E in eV per atom: -7.7784
# DOS at the Fermi energy in states/eV/cell: 0.60
# V in Å³/atom: 12.3
# Distance to the lowest polymorph of the same formula in eV/atom: 0.0494
data_V4O7F5
_chemical_formula_sum 'V4 O7 F5'
_cell_length_a 5.065
_cell_length_b 5.260
_cell_length_c 7.393
_cell_angle_alpha 91.76
_cell_angle_beta 90.07
_cell_angle_gamma 91.83
_space_group_name_H-M_alt 'P 1'
_space_group_IT_number 1
loop_
_space_group_symop_operation_xyz
'x,y,z'
loop_
_atom_site_label
_atom_site_fract_x
_atom_site_fract_y
_atom_site_fract_z
V1 0.000 0.000 0.000
V2 0.025 0.891 0.501
V3 0.485 0.483 0.015
V4 0.543 0.394 0.509
O1 0.234 0.668 0.465
O2 0.239 0.242 0.035
O3 0.311 0.171 0.469
O4 0.315 0.737 0.042
O5 0.740 0.736 0.538
O6 0.741 0.164 0.966
O7 0.809 0.236 0.544
F1 0.111 0.949 0.753
F2 0.447 0.458 0.754
F3 0.614 0.453 0.255
F4 0.821 0.661 0.965
F5 0.942 0.951 0.252

No. 10
# Li2BrN (GGA-PBEsol, relaxed)
# E in eV per atom: -3.5278
# DOS at the Fermi energy in states/eV/cell: 6.64
# V in Å³/atom: 14.1
data_Li2BrN
_chemical_formula_sum 'Li8 Br4 N4'
_cell_length_a 6.091
_cell_length_b 6.091
_cell_length_c 6.091
_cell_angle_alpha 90.00
_cell_angle_beta 90.00
_cell_angle_gamma 90.00
_space_group_name_H-M_alt 'F m -3 m'
_space_group_IT_number 225
_space_group_name_Hall '-F 4 2 3'
loop_
_atom_site_label
_atom_site_fract_x
_atom_site_fract_y
_atom_site_fract_z
Li1 0.250 0.250 0.250
Br1 0.000 0.000 0.000
N1 0.000 0.000 0.500

No. 11
# Li2ReRu (GGA-PBEsol, relaxed)
# E in eV per atom: -5.8326
# DOS at the Fermi energy in states/eV/cell: 16.38
# Formation energy from the elements in eV per atom: 1.03
# V in Å³/atom: 13.1
# Distance to the lowest polymorph of the same formula in eV/atom: 0.7297
data_Li2ReRu
_chemical_formula_sum 'Li8 Re4 Ru4'
_cell_length_a 6.612
_cell_length_b 6.612
_cell_length_c 4.809
_cell_angle_alpha 90.00
_cell_angle_beta 90.00
_cell_angle_gamma 90.00
_space_group_name_H-M_alt 'I -4 2 d'
_space_group_IT_number 122
_space_group_name_Hall 'I -4 2bw'
loop_
_atom_site_label
_atom_site_fract_x
_atom_site_fract_y
_atom_site_fract_z
Li1 0.240 0.250 0.125
Re1 0.000 0.000 0.500
Ru1 0.000 0.000 0.000

No. 12
# Cu3Ni (GGA-PBEsol, relaxed)
# E in eV per atom: -4.7362
# DOS at the Fermi energy in states/eV/cell: 5.64
# Formation energy from the elements in eV per atom: 0.05
# V in Å³/atom: 11.0
data_Cu3Ni
_chemical_formula_sum 'Cu9 Ni3'
_cell_length_a 7.9366
_cell_length_b 7.9366
_cell_length_c 2.4252
_cell_angle_alpha 90.00
_cell_angle_beta 90.00
_cell_angle_gamma 120.00
_space_group_name_H-M_alt 'R -3 m'
_space_group_IT_number 166
_space_group_name_Hall '-R 3 2"'
loop_
_atom_site_label
_atom_site_fract_x
_atom_site_fract_y
_atom_site_fract_z
Cu1 0.0000 0.5000 0.0000
Ni1 0.0000 0.0000 0.0000

No. 13
# GeTe2AsH (GGA-PBEsol, relaxed)
# E in eV per atom: -3.6299
# DOS at the Fermi energy in states/eV/cell: 2.73
# V in Å³/atom: 19.2
data_GeTe2AsH
_chemical_formula_sum 'Ge1 Te2 As1 H1'
_cell_length_a 5.237
_cell_length_b 5.237
_cell_length_c 3.504
_cell_angle_alpha 90.00
_cell_angle_beta 90.00
_cell_angle_gamma 90.00
_space_group_name_H-M_alt 'P 4/m m m'
_space_group_IT_number 123
_space_group_name_Hall '-P 4 2'
loop_
_atom_site_label
_atom_site_fract_x
_atom_site_fract_y
_atom_site_fract_z
Ge1 0.000 0.000 0.000
Te1 0.000 0.500 0.500
As1 0.500 0.500 0.000
H1 0.000 0.000 0.500

No. 14
# MnFe2Cu (GGA-PBEsol, relaxed)
# E in eV per atom: -7.8167
# DOS at the Fermi energy in states/eV/cell: 7.71
# Formation energy from the elements in eV per atom: 0.19
# V in Å³/atom: 10.9
data_MnFe2Cu
_chemical_formula_sum 'Mn2 Fe4 Cu2'
_cell_length_a 4.933
_cell_length_b 7.189
_cell_length_c 2.455
_cell_angle_alpha 90.00
_cell_angle_beta 90.00
_cell_angle_gamma 90.00
_space_group_name_H-M_alt 'C m m m'
_space_group_IT_number 65
_space_group_name_Hall '-C 2 2'
loop_
_atom_site_label
_atom_site_fract_x
_atom_site_fract_y
_atom_site_fract_z
Mn1 0.000 0.000 0.000
Fe1 0.250 0.250 0.500
Cu1 0.000 0.500 0.000

No. 15
# YAlAu2 (GGA-PBEsol, relaxed)
# E in eV per atom: -5.2565
# DOS at the Fermi energy in states/eV/cell: 1.26
# Formation energy from the elements in eV per atom: -0.57
# V in Å³/atom: 19.6
data_YAlAu2
_chemical_formula_sum 'Y1 Al1 Au2'
_cell_length_a 3.534
_cell_length_b 3.534
_cell_length_c 6.282
_cell_angle_alpha 90.00
_cell_angle_beta 90.00
_cell_angle_gamma 90.00
_space_group_name_H-M_alt 'P 4 m m'
_space_group_IT_number 99
loop_
_space_group_symop_operation_xyz
'x,y,z'
'-y,x,z'
'-x,-y,z'
'y,-x,z'
'-x,y,z'
'y,x,z'
'x,-y,z'
'-y,-x,z'
loop_
_atom_site_label
_atom_site_fract_x
_atom_site_fract_y
_atom_site_fract_z
Y1 0.000 0.000 0.000
Al1 0.500 0.500 0.338
Au1 0.000 0.000 0.485
Au2 0.500 0.500 0.757

No. 16
# PIrAuS2 (GGA-PBEsol, relaxed)
# E in eV per atom: -4.8524
# DOS at the Fermi energy in states/eV/cell: 5.87
# V in Å³/atom: 19.5
data_PIrAuS2
_chemical_formula_sum 'P1 Ir1 Au1 S2'
_cell_length_a 4.712
_cell_length_b 4.712
_cell_length_c 4.388
_cell_angle_alpha 90.00
_cell_angle_beta 90.00
_cell_angle_gamma 90.00
_space_group_name_H-M_alt 'P 4/m m m'
_space_group_IT_number 123
_space_group_name_Hall '-P 4 2'
loop_
_atom_site_label
_atom_site_fract_x
_atom_site_fract_y
_atom_site_fract_z
P1 0.000 0.000 0.000
Ir1 0.000 0.000 0.500
Au1 0.500 0.500 0.000
S1 0.000 0.500 0.500

No. 17
# FeAgHCl2 (GGA-PBEsol, relaxed)
# E in eV per atom: -3.9484
# DOS at the Fermi energy in states/eV/cell: 4.11
# V in Å³/atom: 15.0
data_FeAgHCl2
_chemical_formula_sum 'Fe1 Ag1 H1 Cl2'
_cell_length_a 4.768
_cell_length_b 4.768
_cell_length_c 3.306
_cell_angle_alpha 90.00
_cell_angle_beta 90.00
_cell_angle_gamma 90.00
_space_group_name_H-M_alt 'P 4/m m m'
_space_group_IT_number 123
_space_group_name_Hall '-P 4 2'
loop_
_atom_site_label
_atom_site_fract_x
_atom_site_fract_y
_atom_site_fract_z
Fe1 0.000 0.000 0.000
Ag1 0.500 0.500 0.500
H1 0.000 0.000 0.500
Cl1 0.000 0.500 0.000

No. 18
# YCuTc2 (GGA-PBEsol, relaxed)
# E in eV per atom: -8.0533
# DOS at the Fermi energy in states/eV/cell: 7.60
# Formation energy from the elements in eV per atom: 0.37
# V in Å³/atom: 15.8
data_YCuTc2
_chemical_formula_sum 'Y2 Cu2 Tc4'
_cell_length_a 5.344
_cell_length_b 9.315
_cell_length_c 2.768
_cell_angle_alpha 90.00
_cell_angle_beta 113.76
_cell_angle_gamma 90.00
_space_group_name_H-M_alt 'C 1 2/m 1'
_space_group_IT_number 12
loop_
_space_group_symop_operation_xyz
'x,y,z'
'-x,-y,-z'
'-x,y,-z'
'x,-y,z'
'x+1/2,y+1/2,z'
'-x+1/2,-y+1/2,-z'
'-x+1/2,y+1/2,-z'
'x+1/2,-y+1/2,z'
loop_
_atom_site_label
_atom_site_fract_x
_atom_site_fract_y
_atom_site_fract_z
Y1 0.000 0.000 0.000
Cu1 0.000 0.500 0.000
Tc1 0.250 0.250 0.500

No. 19
# Li2Ca (GGA-PBEsol, relaxed)
# E in eV per atom: -1.9563
# DOS at the Fermi energy in states/eV/cell: 4.64
# Formation energy from the elements in eV per atom: 0.07
# V in Å³/atom: 27.7
# Distance to the lowest polymorph of the same formula in eV/atom: 0.0815
data_Li2Ca
_chemical_formula_sum 'Li4 Ca2'
_cell_length_a 5.4595
_cell_length_b 5.4595
_cell_length_c 6.4366
_cell_angle_alpha 90.00
_cell_angle_beta 90.00
_cell_angle_gamma 120.00
_space_group_name_H-M_alt 'P 63/m m c'
_space_group_IT_number 194
_space_group_name_Hall '-P 6c 2c'
loop_
_atom_site_label
_atom_site_fract_x
_atom_site_fract_y
_atom_site_fract_z
Li1 0.0000 0.0000 0.0000
Li2 0.3333 0.6667 0.2500
Ca1 0.3333 0.6667 0.7500

No. 20
# LiInAg2 (GGA-PBEsol, relaxed)
# E in eV per atom: -3.0678
# DOS at the Fermi energy in states/eV/cell: 1.10
# Formation energy from the elements in eV per atom: -0.17
# V in Å³/atom: 17.4
data_LiInAg2
_chemical_formula_sum 'Li1 In1 Ag2'
_cell_length_a 3.096
_cell_length_b 3.824
_cell_length_c 5.875
_cell_angle_alpha 90.00
_cell_angle_beta 90.00
_cell_angle_gamma 90.00
_space_group_name_H-M_alt 'P m m 2'
_space_group_IT_number 25
loop_
_space_group_symop_operation_xyz
'x,y,z'
'-x,-y,z'
'-x,y,z'
'x,-y,z'
loop_
_atom_site_label
_atom_site_fract_x
_atom_site_fract_y
_atom_site_fract_z
Li1 0.000 0.000 0.000
In1 0.500 0.500 0.731
Ag1 0.000 0.000 0.472
Ag2 0.500 0.500 0.221